1.
VASP calculation (PBE-GGA) on a relaxed KSrI2F crystal.

```
data_KSrI2F
_chemical_formula_sum 'K1 Sr1 I2 F1'
_symmetry_space_group_name_H-M 'P 4/m m m'
_symmetry_Int_Tables_number 123
_symmetry_space_group_name_Hall '-P 4 2'
_cell_length_a 6.5797
_cell_length_b 6.5797
_cell_length_c 4.6412
_cell_angle_alpha 90.00
_cell_angle_beta 90.00
_cell_angle_gamma 90.00
loop_
_atom_site_label
_atom_site_fract_x
_atom_site_fract_y
_atom_site_fract_z
_atom_site_occupancy
K1 0.0000 0.0000 0.0000 1
Sr1 0.5000 0.5000 0.5000 1
I1 0.0000 0.5000 0.5000 1
F1 0.5000 0.5000 0.0000 1
```

Values from the calculation:
- Energy relative to the elements, uncorrected: -1051 kJ/mol of formula units
- Energy: -18.65 eV per cell

=====

2.
VASP calculation (PBE-GGA) on a relaxed Tb4NdSm10 crystal.

```
data_Tb4NdSm10
_chemical_formula_sum 'Tb8 Nd2 Sm20'
_symmetry_space_group_name_H-M 'I 4/m'
_symmetry_Int_Tables_number 87
_symmetry_space_group_name_Hall '-I 4'
_cell_length_a 12.3227
_cell_length_b 12.3227
_cell_length_c 7.7802
_cell_angle_alpha 90.00
_cell_angle_beta 90.00
_cell_angle_gamma 90.00
loop_
_atom_site_label
_atom_site_fract_x
_atom_site_fract_y
_atom_site_fract_z
_atom_site_occupancy
Tb1 0.1003 0.2999 0.0000 1
Nd1 0.0000 0.0000 0.5000 1
Sm1 0.0000 0.5000 0.2500 1
Sm2 0.1001 0.7985 0.2487 1
```

Values from the calculation:
- Energy: -119.43 eV per cell
- E_form: 0.718 eV/atom